[1]
First-principles (PBE+U) data for an optimized crystal structure of GaCoH2BrO, as listed in Alexandria.

Geometry as extended XYZ:
```
6
Lattice="-0.086 2.421 -2.204 -5.217 -0.736 1.993 3.630 2.384 3.998" Properties=species:S:1:pos:R:3 pbc="T T T"
O 0.358 1.165 -0.115
Br -1.423 1.582 2.523
Co -1.623 1.430 0.155
H 1.941 3.527 2.570
H 1.180 3.273 2.913
Ga -3.956 1.479 0.576
```

SG: P1 (1)
Energy above the lowest structure with this stoichiometry in meV/atom: 99.1
M_tot in μB per formula unit: 1.002

[2]
First-principles (PBE+U) data for an optimized crystal structure of ReMoF3, as listed in Alexandria.

Geometry as extended XYZ:
```
5
Lattice="4.176 0.000 0.000 0.000 4.176 0.000 0.000 0.000 4.176" Properties=species:S:1:pos:R:3 pbc="T T T"
F 2.088 0.000 0.000
F 0.000 0.000 2.088
F 0.000 2.088 0.000
Mo 0.000 0.000 0.000
Re 2.088 2.088 2.088
```

SG: Pm-3m (221)
Energy above the lowest structure with this stoichiometry in meV/atom: 854.3
M_tot in μB per formula unit: 0.000

> M_tot of number 1 (GaCoH2BrO)?

1.002 μB per formula unit